A plane-wave DFT calculation with PBE-GGA was carried out for a relaxed Pr2Cu2Pd crystal.

a = 4.1926 Å, b = 5.7523 Å, c = 10.3353 Å
α = 87.09°, β = 78.30°, γ = 68.63°
With the nearest neighbours (Å) after each atom.
Element x y z (fractional)
Pr 0.6894 0.2659 0.3553  4 Pd 3.02-3.37, 7 Cu 3.04-3.32
Pr 0.9159 0.2822 0.8860  2 Pd 3.05, 6 Cu 3.08-3.19
Pr 0.3106 0.7341 0.6447  4 Pd 3.02-3.37, 7 Cu 3.04-3.32
Pr 0.0841 0.7178 0.1140  2 Pd 3.05, 6 Cu 3.08-3.19
Cu 0.0540 0.3199 0.5720  1 Cu 2.45, 2 Pd 2.57
Cu 0.6252 0.8578 0.8918  1 Cu 2.64, 1 Pd 2.64
Cu 0.9460 0.6801 0.4280  1 Cu 2.45, 2 Pd 2.57
Cu 0.3748 0.1422 0.1082  1 Cu 2.64, 1 Pd 2.64
Pd 0.5918 0.1365 0.6798  3 Cu 2.57-2.64
Pd 0.4082 0.8635 0.3202  3 Cu 2.57-2.64

Values from the calculation:
VASP energy = -24.9 eV per formula unit
Crystal system = monoclinic
Energy above the lowest structure with this stoichiometry = 0.000 eV/atom



A plane-wave DFT calculation with PBE-GGA was carried out for a relaxed Ta2CuCl crystal.

a = 8.9371 Å, b = 8.9371 Å, c = 8.9371 Å
α = 18.86°, β = 18.86°, γ = 18.86°
With the nearest neighbours (Å) after each atom.
Element x y z (fractional)
Cl 0.2500 0.2500 0.2500  6 Ta 2.75, 6 Cl 2.93
Cu 0.7500 0.7500 0.7500  6 Ta 2.79, 6 Cu 2.93
Ta 0.9992 0.9992 0.9992  3 Cl 2.75, 3 Cu 2.79, 6 Ta 2.93
Ta 0.5008 0.5008 0.5008  3 Cl 2.75, 3 Cu 2.79, 6 Ta 2.93

Values from the calculation:
Formation energy (no corrections) = 243 meV/atom
VASP energy = -28.7 eV per formula unit
Crystal system = trigonal
Energy above the lowest structure with this stoichiometry = 0.242 eV/atom



A plane-wave DFT calculation with PBE-GGA was carried out for a relaxed MgFePtI2 crystal.

a = 5.3411 Å, b = 4.9359 Å, c = 5.3411 Å
α = 90.00°, β = 90.00°, γ = 90.00°
With the nearest neighbours (Å) after each atom.
Element x y z (fractional)
I 0.0000 0.0000 0.5000  2 Mg 2.67
I 0.5000 0.0000 0.0000  2 Mg 2.67
Mg 0.0000 0.0000 0.0000  2 Fe 2.47, 4 I 2.67
Fe 0.0000 0.5000 0.0000  2 Mg 2.47
Pt 0.5000 0.5000 0.5000  8 I 3.64, 4 Fe 3.78

Values from the calculation:
Formation energy (no corrections) = 1179 meV/atom
VASP energy = -13.3 eV per formula unit
Crystal system = tetragonal



A plane-wave DFT calculation with PBE-GGA was carried out for a relaxed BaPaNi2 crystal.

a = 3.8744 Å, b = 3.8744 Å, c = 7.9167 Å
α = 75.84°, β = 75.84°, γ = 60.00°
With the nearest neighbours (Å) after each atom.
Element x y z (fractional)
Ni 0.7313 0.7313 0.8061  3 Pa 2.68
Ni 0.2687 0.2687 0.1939  3 Pa 2.68
Pa 0.0000 0.0000 0.0000  6 Ni 2.68
Ba 0.5000 0.5000 0.5000  6 Ni 3.23

Values from the calculation:
VASP energy = -22.8 eV per formula unit
Crystal system = trigonal
Energy above the lowest structure with this stoichiometry = 0.170 eV/atom



A plane-wave DFT calculation with PBE-GGA was carried out for a relaxed CuI2BrN crystal.

a = 6.4090 Å, b = 6.4090 Å, c = 3.6826 Å
α = 90.00°, β = 90.00°, γ = 90.00°
With the nearest neighbours (Å) after each atom.
Element x y z (fractional)
I 0.0000 0.5000 0.0000  2 Br 3.20
I 0.5000 0.0000 0.0000  2 Br 3.20
Cu 0.5000 0.5000 0.5000  2 Cu 3.68, 8 I 3.70
Br 0.0000 0.0000 0.0000  2 N 1.84
N 0.0000 0.0000 0.5000  2 Br 1.84

Values from the calculation:
Formation energy (no corrections) = 1418 meV/atom
VASP energy = -10.1 eV per formula unit
Crystal system = tetragonal
Energy above the lowest structure with this stoichiometry = 0.572 eV/atom



A plane-wave DFT calculation with PBE-GGA was carried out for a relaxed BiSb2Pb9 crystal.

a = 5.9614 Å, b = 5.9614 Å, c = 10.5060 Å
α = 90.00°, β = 90.00°, γ = 90.00°
With the nearest neighbours (Å) after each atom.
Element x y z (fractional)
Bi 0.0000 0.0000 0.0000  8 Pb 3.47, 2 Sb 3.51
Sb 0.0000 0.0000 0.3339  8 Pb 3.44-3.45, 1 Sb 3.49, 1 Bi 3.51
Sb 0.0000 0.0000 0.6661  8 Pb 3.44-3.45, 1 Sb 3.49, 1 Bi 3.51
Pb 0.5000 0.5000 0.0000  10 Pb 3.47-3.49
Pb 0.5000 0.5000 0.3326  10 Pb 3.44-3.52
Pb 0.5000 0.5000 0.6674  10 Pb 3.44-3.52
Pb 0.5000 0.0000 0.1698  6 Pb 3.44-3.57, 2 Sb 3.44, 2 Bi 3.47
Pb 0.5000 0.0000 0.5000  4 Sb 3.45, 6 Pb 3.46-3.47
Pb 0.5000 0.0000 0.8302  6 Pb 3.44-3.57, 2 Sb 3.44, 2 Bi 3.47
Pb 0.0000 0.5000 0.1698  6 Pb 3.44-3.57, 2 Sb 3.44, 2 Bi 3.47
Pb 0.0000 0.5000 0.5000  4 Sb 3.45, 6 Pb 3.46-3.47
Pb 0.0000 0.5000 0.8302  6 Pb 3.44-3.57, 2 Sb 3.44, 2 Bi 3.47

Values from the calculation:
Formation energy (no corrections) = 42 meV/atom
VASP energy = -45.0 eV per formula unit
Crystal system = tetragonal